The following is a DFT calculation (PBE with a Hubbard U) of a geometry-optimized Na2LiFeF structure.

Properties
For the density of states at the Fermi level, the calculation gives 2.272 states/eV/f.u. For the total energy, the calculation gives -2.718 eV per atom.

Structure (CIF):
```
data_Na2LiFeF
_chemical_formula_sum 'Na2 Li1 Fe1 F1'
_cell_length_a 6.227
_cell_length_b 6.227
_cell_length_c 3.875
_cell_angle_alpha 90.00
_cell_angle_beta 90.00
_cell_angle_gamma 90.00
_symmetry_space_group_name_H-M 'P 4/m m m'
_symmetry_Int_Tables_number 123
_symmetry_space_group_name_Hall '-P 4 2'
loop_
_atom_site_label
_atom_site_fract_x
_atom_site_fract_y
_atom_site_fract_z
Na1 0.000 0.500 0.000
Li1 0.000 0.000 0.500
Fe1 0.500 0.500 0.000
F1 0.500 0.500 0.500
```